Material: Th2ZrSc
Method: DFT, PBE-GGA
State: relaxed

Computed properties:
The distance to the lowest polymorph of the same formula is 0.000 eV/f.u.

Cell lengths 4.8736, 4.8736, 4.7175 Å; angles 90.00, 90.00, 90.00 degrees
Last column: nearest neighbours and their distance in Å.
Space group P4/mmm (No. 123)
One atom of each set of equivalent atoms:
Th 0.0000 0.5000 0.0000 (multiplicity 2)  4 Zr 3.39, 4 Sc 3.39, 4 Th 3.45
Zr 0.0000 0.0000 0.5000 (multiplicity 1)  8 Th 3.39, 4 Sc 3.45
Sc 0.5000 0.5000 0.5000 (multiplicity 1)  8 Th 3.39, 4 Zr 3.45

Material: KMn2Tl
Method: DFT, PBE-GGA
State: relaxed

Computed properties:
The distance to the lowest polymorph of the same formula is 1.449 eV/f.u.

Cell lengths 6.5184, 9.7885, 3.1477 Å; angles 90.00, 90.00, 90.00 degrees
Last column: nearest neighbours and their distance in Å.
Space group Cmmm (No. 65)
One atom of each set of equivalent atoms:
K 0.0000 0.0000 0.0000 (multiplicity 2)  2 K 3.15, 2 Tl 3.26, 8 Mn 3.33
Mn 0.2500 0.2500 0.5000 (multiplicity 4)  4 Mn 3.15-3.26, 4 Tl 3.33, 4 K 3.33
Tl 0.0000 0.5000 0.0000 (multiplicity 2)  2 Tl 3.15, 2 K 3.26, 8 Mn 3.33

Material: Rb4Sm3YTe8
Method: DFT, PBE-GGA
State: relaxed

Computed properties:
For the energy relative to the elements, uncorrected, the calculation gives -1.40 eV/atom.

Cell lengths 9.1694, 9.1694, 25.6880 Å; angles 90.00, 90.00, 120.00 degrees
Last column: nearest neighbours and their distance in Å.
Space group R-3m (No. 166, hexagonal axes)
One atom of each set of equivalent atoms:
Rb 0.0000 0.0000 0.0000 (multiplicity 3)  6 Te 3.70
Rb 0.0000 0.5000 0.0000 (multiplicity 9)  6 Te 3.67
Sm 0.0000 0.5000 0.5000 (multiplicity 9)  6 Te 3.17
Y 0.0000 0.0000 0.5000 (multiplicity 3)  6 Te 3.13
Te 0.0000 0.0000 0.2345 (multiplicity 6)  3 Sm 3.17
Te 0.0040 0.5020 0.2339 (multiplicity 18)  1 Y 3.13, 2 Sm 3.17

Material: GaNiAg3
Method: DFT, PBE-GGA
State: relaxed

Computed properties:
The distance to the lowest polymorph of the same formula is 0.000 eV/f.u.

Cell lengths 4.8294, 4.8294, 4.8294 Å; angles 90.00, 90.00, 90.00 degrees
Last column: nearest neighbours and their distance in Å.
Space group Pm-3m (No. 221)
One atom of each set of equivalent atoms:
Ga 0.0000 0.0000 0.0000 (multiplicity 1)  12 Ag 3.41
Ni 0.5000 0.5000 0.5000 (multiplicity 1)  6 Ag 2.41
Ag 0.0000 0.5000 0.5000 (multiplicity 3)  2 Ni 2.41

Material: PrHoGeH
Method: DFT, PBE-GGA
State: relaxed

Computed properties:
Its energy is -4.95 eV/atom.

Cell lengths 4.4401, 4.4401, 8.4945 Å; angles 90.00, 90.00, 90.00 degrees
Last column: nearest neighbours and their distance in Å.
Space group P4/nmm (No. 129, origin choice 2)
One atom of each set of equivalent atoms:
Pr 0.2500 0.2500 0.1272 (multiplicity 2)  4 H 2.47
Ho 0.2500 0.7500 0.5000 (multiplicity 2)  4 Ge 2.96, 4 Ho 3.14
Ge 0.2500 0.2500 0.7307 (multiplicity 2)  4 Ho 2.96, 4 H 3.19
H 0.2500 0.7500 0.0000 (multiplicity 2)  4 Pr 2.47

Material: Ac6GaRh3
Method: DFT, PBE-GGA
State: relaxed

Computed properties:
Its energy is -5.52 eV/atom.

Cell lengths 12.6578, 4.3541, 12.8195 Å; angles 90.00, 109.23, 90.00 degrees
Last column: nearest neighbours and their distance in Å.
Space group P2_1/m (No. 11)
One atom of each set of equivalent atoms:
Ac 0.0342 0.2500 0.3887 (multiplicity 2)  3 Rh 2.94-3.00
Ac 0.1099 0.2500 0.9424 (multiplicity 2)  4 Rh 2.98-3.12
Ac 0.2187 0.7500 0.2563 (multiplicity 2)  3 Rh 3.00-3.15
Ac 0.2952 0.7500 0.7528 (multiplicity 2)  3 Rh 2.93-3.18
Ac 0.3708 0.2500 0.5288 (multiplicity 2)  2 Rh 3.08, 3 Ga 3.38-3.41
Ac 0.4241 0.7500 0.0894 (multiplicity 2)  3 Rh 2.97-3.05
Ga 0.4509 0.2500 0.2994 (multiplicity 2)  8 Ac 3.38-3.55
Rh 0.0519 0.2500 0.1611 (multiplicity 2)  6 Ac 2.98-3.12
Rh 0.1899 0.7500 0.4910 (multiplicity 2)  6 Ac 2.94-3.18
Rh 0.3426 0.2500 0.9150 (multiplicity 2)  6 Ac 2.93-3.08

Material: Ag8ClF5
Method: DFT, PBE-GGA
State: relaxed

Computed properties:
For the energy relative to the elements, uncorrected, the calculation gives -0.71 eV/atom.

Cell lengths 7.6231, 7.6231, 8.2017 Å; angles 90.00, 90.00, 90.00 degrees
Last column: nearest neighbours and their distance in Å.
Space group I-4 (No. 82)
One atom of each set of equivalent atoms:
Ag 0.0436 0.3226 0.1292 (multiplicity 8)  1 F 2.39
Ag 0.0695 0.1902 0.7014 (multiplicity 8)  3 F 2.39-2.45
Cl 0.0000 0.0000 0.0000 (multiplicity 2)  8 Ag 2.70-2.89
F 0.0000 0.5000 0.7500 (multiplicity 2)  4 Ag 2.45
F 0.2024 0.7822 0.5588 (multiplicity 8)  3 Ag 2.39-2.42

Material: CsAcSe
Method: DFT, PBE-GGA
State: relaxed

Computed properties:
For the energy relative to the elements, uncorrected, the calculation gives -0.92 eV/atom.

Cell lengths 4.5076, 4.5076, 8.5264 Å; angles 90.00, 90.00, 120.00 degrees
Last column: nearest neighbours and their distance in Å.
Space group P3m1 (No. 156)
One atom of each set of equivalent atoms:
Cs 0.0000 0.0000 0.0000 (multiplicity 1)  3 Se 3.61
Ac 0.3333 0.6667 0.5081 (multiplicity 1)  3 Se 3.10
Se 0.6667 0.3333 0.7062 (multiplicity 1)  3 Ac 3.10

Material: ZrNiSb2I
Method: DFT, PBE-GGA
State: relaxed

Computed properties:
For the energy relative to the elements, uncorrected, the calculation gives 0.41 eV/atom.

Cell lengths 4.9621, 4.9621, 5.1648 Å; angles 90.00, 90.00, 90.00 degrees
Last column: nearest neighbours and their distance in Å.
Space group P4/mmm (No. 123)
One atom of each set of equivalent atoms:
Zr 0.0000 0.0000 0.0000 (multiplicity 1)  4 I 3.51, 8 Sb 3.58
Ni 0.5000 0.5000 0.5000 (multiplicity 1)  4 Sb 2.48, 2 I 2.58
Sb 0.0000 0.5000 0.5000 (multiplicity 2)  2 Ni 2.48
I 0.5000 0.5000 0.0000 (multiplicity 1)  2 Ni 2.58

Material: HgOsSeN2
Method: DFT, PBE-GGA
State: relaxed

Computed properties:
For the energy relative to the elements, uncorrected, the calculation gives 0.61 eV/atom. The distance to the lowest polymorph of the same formula is 0.000 eV/f.u.

Cell lengths 3.8462, 3.8462, 5.5790 Å; angles 90.00, 90.00, 90.00 degrees
Last column: nearest neighbours and their distance in Å.
Space group P4/mmm (No. 123)
One atom of each set of equivalent atoms:
Hg 0.0000 0.0000 0.0000 (multiplicity 1)  4 Se 2.72
Os 0.5000 0.5000 0.5000 (multiplicity 1)  4 N 1.92
Se 0.5000 0.5000 0.0000 (multiplicity 1)  4 Hg 2.72, 2 Os 2.79
N 0.0000 0.5000 0.5000 (multiplicity 2)  2 Os 1.92

Material: SrB3As
Method: DFT, PBE-GGA
State: relaxed

Computed properties:
The distance to the lowest polymorph of the same formula is 0.000 eV/f.u.

Cell lengths 4.3049, 4.3049, 4.3049 Å; angles 90.00, 90.00, 90.00 degrees
Last column: nearest neighbours and their distance in Å.
Space group Pm-3m (No. 221)
One atom of each set of equivalent atoms:
Sr 0.0000 0.0000 0.0000 (multiplicity 1)  12 B 3.04
B 0.0000 0.5000 0.5000 (multiplicity 3)  2 As 2.15
As 0.5000 0.5000 0.5000 (multiplicity 1)  6 B 2.15

Material: Hf8MnPt2
Method: DFT, PBE-GGA
State: relaxed

Computed properties:
Its energy is -9.57 eV/atom.

Cell lengths 15.4855, 4.7015, 6.1808 Å; angles 90.00, 99.40, 90.00 degrees
Last column: nearest neighbours and their distance in Å.
Space group C2/m (No. 12)
One atom of each set of equivalent atoms:
Hf 0.0263 0.0000 0.2550 (multiplicity 4)  1 Pt 2.76, 2 Mn 2.86, 2 Hf 3.06
Hf 0.0875 0.5000 0.9359 (multiplicity 4)  1 Mn 2.81, 5 Hf 2.94-3.06
Hf 0.1584 0.5000 0.4542 (multiplicity 4)  1 Mn 2.51, 1 Pt 2.64
Hf 0.1902 0.0000 0.8054 (multiplicity 4)  3 Pt 2.62-2.90
Mn 0.0000 0.5000 0.5000 (multiplicity 2)  4 Hf 2.51-2.81
Pt 0.2032 0.0000 0.2330 (multiplicity 4)  7 Hf 2.62-2.90

| no. | volume (A^3/atom) | theoretical density (g cm⁻³) |
| --- | --- | --- |
| 1 | 28.01 | 8.90 |
| 2 | 25.10 | 5.84 |
| 3 | 38.97 | 5.07 |
| 4 | 22.53 | 6.66 |
| 5 | 20.93 | 7.53 |
| 6 | 33.36 | 8.66 |
| 7 | 17.02 | 6.92 |
| 8 | 50.01 | 4.86 |
| 9 | 25.43 | 6.79 |
| 10 | 16.51 | 10.02 |
| 11 | 15.96 | 4.06 |
| 12 | 20.18 | 14.01 |